Arrangement w

DFT (PBE with a Hubbard U) results for a relaxed MnMoNF2 crystal.

Computed properties:
D(E_F)	0.27	states/eV/atom

CIF file:
```
data_MnMoNF2
_cell_length_a 3.9567
_cell_length_b 3.9567
_cell_length_c 4.1777
_cell_angle_alpha 90.00
_cell_angle_beta 90.00
_cell_angle_gamma 90.00
_symmetry_space_group_name_H-M 'P 4/m m m'
_symmetry_Int_Tables_number 123
_symmetry_space_group_name_Hall '-P 4 2'
loop_
_atom_site_label
_atom_site_type_symbol
_atom_site_fract_x
_atom_site_fract_y
_atom_site_fract_z
Mn1 Mn 0.0000 0.0000 0.0000
Mo1 Mo 0.5000 0.5000 0.5000
N1 N 0.0000 0.0000 0.5000
F1 F 0.0000 0.5000 0.0000
```

Arrangement x

DFT (PBE with a Hubbard U) results for a relaxed MnMoNF2 crystal.

Computed properties:
D(E_F)	0.22	states/eV/atom

CIF file:
```
data_MnMoNF2
_cell_length_a 4.2113
_cell_length_b 4.2113
_cell_length_c 4.1711
_cell_angle_alpha 90.00
_cell_angle_beta 90.00
_cell_angle_gamma 90.00
_symmetry_space_group_name_H-M 'P 4/m m m'
_symmetry_Int_Tables_number 123
_symmetry_space_group_name_Hall '-P 4 2'
loop_
_atom_site_label
_atom_site_type_symbol
_atom_site_fract_x
_atom_site_fract_y
_atom_site_fract_z
Mn1 Mn 0.0000 0.0000 0.0000
Mo1 Mo 0.5000 0.5000 0.5000
N1 N 0.5000 0.5000 0.0000
F1 F 0.0000 0.5000 0.5000
```

It is arrangement w that is the least stable of them.

Arrangement w

DFT (PBE with a Hubbard U) results for a relaxed MnNF3 crystal.

Computed properties:
D(E_F)	0.71	states/eV/atom

CIF file:
```
data_MnNF3
_cell_length_a 5.6979
_cell_length_b 5.6979
_cell_length_c 3.9409
_cell_angle_alpha 90.00
_cell_angle_beta 90.00
_cell_angle_gamma 90.00
_symmetry_space_group_name_H-M 'P 4/m b m'
_symmetry_Int_Tables_number 127
_symmetry_space_group_name_Hall '-P 4 2ab'
loop_
_atom_site_label
_atom_site_type_symbol
_atom_site_fract_x
_atom_site_fract_y
_atom_site_fract_z
Mn1 Mn 0.0000 0.5000 0.0000
N1 N 0.0000 0.0000 0.5000
F1 F 0.0000 0.5000 0.5000
F2 F 0.2335 0.2665 0.0000
```

Arrangement x

DFT (PBE with a Hubbard U) results for a relaxed MnNF3 crystal.

Computed properties:
D(E_F)	0.01	states/eV/atom

CIF file:
```
data_MnNF3
_cell_length_a 3.8888
_cell_length_b 6.2619
_cell_length_c 7.5036
_cell_angle_alpha 94.95
_cell_angle_beta 101.08
_cell_angle_gamma 90.03
_symmetry_space_group_name_H-M 'P -1'
_symmetry_Int_Tables_number 2
loop_
_symmetry_equiv_pos_as_xyz
'x,y,z'
'-x,-y,-z'
loop_
_atom_site_label
_atom_site_type_symbol
_atom_site_fract_x
_atom_site_fract_y
_atom_site_fract_z
Mn1 Mn 0.0002 0.2501 0.0005
N1 N 0.3037 0.2520 0.5321
F1 F 0.0638 0.4891 0.1717
F2 F 0.0643 0.9879 0.1716
F3 F 0.4994 0.7502 0.9983
```

It is arrangement w that is the least stable of them.

Arrangement w

DFT (PBE with a Hubbard U) results for a relaxed MnNF3 crystal.

Computed properties:
D(E_F)	0.32	states/eV/atom

CIF file:
```
data_MnNF3
_cell_length_a 3.8895
_cell_length_b 3.8895
_cell_length_c 3.8895
_cell_angle_alpha 90.00
_cell_angle_beta 90.00
_cell_angle_gamma 90.00
_symmetry_space_group_name_H-M 'P m -3 m'
_symmetry_Int_Tables_number 221
_symmetry_space_group_name_Hall '-P 4 2 3'
loop_
_atom_site_label
_atom_site_type_symbol
_atom_site_fract_x
_atom_site_fract_y
_atom_site_fract_z
Mn1 Mn 0.0000 0.0000 0.0000
N1 N 0.5000 0.5000 0.5000
F1 F 0.0000 0.5000 0.5000
```

Arrangement x

DFT (PBE with a Hubbard U) results for a relaxed MnNF3 crystal.

Computed properties:
D(E_F)	0.95	states/eV/atom

CIF file:
```
data_MnNF3
_cell_length_a 3.9781
_cell_length_b 3.9781
_cell_length_c 3.9781
_cell_angle_alpha 90.00
_cell_angle_beta 90.00
_cell_angle_gamma 90.00
_symmetry_space_group_name_H-M 'P m -3 m'
_symmetry_Int_Tables_number 221
_symmetry_space_group_name_Hall '-P 4 2 3'
loop_
_atom_site_label
_atom_site_type_symbol
_atom_site_fract_x
_atom_site_fract_y
_atom_site_fract_z
Mn1 Mn 0.0000 0.0000 0.0000
N1 N 0.5000 0.5000 0.5000
F1 F 0.0000 0.0000 0.5000
```

It is arrangement w that is the least stable of them.

Arrangement w

DFT (PBE with a Hubbard U) results for a relaxed MnN2F crystal.

Computed properties:
D(E_F)	0.23	states/eV/atom

CIF file:
```
data_MnN2F
_cell_length_a 5.4408
_cell_length_b 5.4408
_cell_length_c 5.4408
_cell_angle_alpha 90.00
_cell_angle_beta 90.00
_cell_angle_gamma 90.00
_symmetry_space_group_name_H-M 'F m -3 m'
_symmetry_Int_Tables_number 225
_symmetry_space_group_name_Hall '-F 4 2 3'
loop_
_atom_site_label
_atom_site_type_symbol
_atom_site_fract_x
_atom_site_fract_y
_atom_site_fract_z
Mn1 Mn 0.0000 0.0000 0.0000
N1 N 0.2500 0.2500 0.2500
F1 F 0.0000 0.0000 0.5000
```

Arrangement x

DFT (PBE with a Hubbard U) results for a relaxed MnN2F crystal.

Computed properties:
D(E_F)	1.00	states/eV/atom

CIF file:
```
data_MnN2F
_cell_length_a 2.8737
_cell_length_b 2.8737
_cell_length_c 16.4203
_cell_angle_alpha 90.00
_cell_angle_beta 90.00
_cell_angle_gamma 120.00
_symmetry_space_group_name_H-M 'R -3 m'
_symmetry_Int_Tables_number 166
_symmetry_space_group_name_Hall '-R 3 2"'
loop_
_atom_site_label
_atom_site_type_symbol
_atom_site_fract_x
_atom_site_fract_y
_atom_site_fract_z
Mn1 Mn 0.0000 0.0000 0.0000
N1 N 0.0000 0.0000 0.3925
F1 F 0.0000 0.0000 0.5000
```

It is arrangement w that is the least stable of them.

Arrangement w

DFT (PBE with a Hubbard U) results for a relaxed NaMnN2F crystal.

Computed properties:
D(E_F)	0.43	states/eV/atom

CIF file:
```
data_NaMnN2F
_cell_length_a 4.2659
_cell_length_b 4.2659
_cell_length_c 3.9455
_cell_angle_alpha 90.00
_cell_angle_beta 90.00
_cell_angle_gamma 90.00
_symmetry_space_group_name_H-M 'P 4/m m m'
_symmetry_Int_Tables_number 123
_symmetry_space_group_name_Hall '-P 4 2'
loop_
_atom_site_label
_atom_site_type_symbol
_atom_site_fract_x
_atom_site_fract_y
_atom_site_fract_z
Na1 Na 0.0000 0.0000 0.0000
Mn1 Mn 0.5000 0.5000 0.5000
N1 N 0.0000 0.5000 0.0000
F1 F 0.0000 0.0000 0.5000
```

Arrangement x

DFT (PBE with a Hubbard U) results for a relaxed NaMnN2F crystal.

Computed properties:
D(E_F)	0.42	states/eV/atom

CIF file:
```
data_NaMnN2F
_cell_length_a 3.6073
_cell_length_b 3.6073
_cell_length_c 4.2674
_cell_angle_alpha 90.00
_cell_angle_beta 90.00
_cell_angle_gamma 90.00
_symmetry_space_group_name_H-M 'P 4/m m m'
_symmetry_Int_Tables_number 123
_symmetry_space_group_name_Hall '-P 4 2'
loop_
_atom_site_label
_atom_site_type_symbol
_atom_site_fract_x
_atom_site_fract_y
_atom_site_fract_z
Na1 Na 0.0000 0.0000 0.0000
Mn1 Mn 0.5000 0.5000 0.5000
N1 N 0.0000 0.5000 0.5000
F1 F 0.5000 0.5000 0.0000
```

It is arrangement w that is the least stable of them.

Arrangement w

DFT (PBE with a Hubbard U) results for a relaxed MnNbNF2 crystal.

Computed properties:
D(E_F)	0.75	states/eV/atom

CIF file:
```
data_MnNbNF2
_cell_length_a 3.8363
_cell_length_b 3.8363
_cell_length_c 4.4935
_cell_angle_alpha 90.00
_cell_angle_beta 90.00
_cell_angle_gamma 90.00
_symmetry_space_group_name_H-M 'P 4/m m m'
_symmetry_Int_Tables_number 123
_symmetry_space_group_name_Hall '-P 4 2'
loop_
_atom_site_label
_atom_site_type_symbol
_atom_site_fract_x
_atom_site_fract_y
_atom_site_fract_z
Mn1 Mn 0.0000 0.0000 0.0000
Nb1 Nb 0.5000 0.5000 0.5000
N1 N 0.0000 0.0000 0.5000
F1 F 0.0000 0.5000 0.0000
```

Arrangement x

DFT (PBE with a Hubbard U) results for a relaxed MnNbNF2 crystal.

Computed properties:
D(E_F)	0.31	states/eV/atom

CIF file:
```
data_MnNbNF2
_cell_length_a 4.2843
_cell_length_b 4.2843
_cell_length_c 4.0696
_cell_angle_alpha 90.00
_cell_angle_beta 90.00
_cell_angle_gamma 90.00
_symmetry_space_group_name_H-M 'P 4/m m m'
_symmetry_Int_Tables_number 123
_symmetry_space_group_name_Hall '-P 4 2'
loop_
_atom_site_label
_atom_site_type_symbol
_atom_site_fract_x
_atom_site_fract_y
_atom_site_fract_z
Mn1 Mn 0.0000 0.0000 0.0000
Nb1 Nb 0.5000 0.5000 0.5000
N1 N 0.5000 0.5000 0.0000
F1 F 0.0000 0.5000 0.5000
```

It is arrangement w that is the least stable of them.